Entry 1:
Density functional theory data (PBE) for a relaxed Ti4Zn5Ni crystal.

Calculated values
energy relative to the elements: -1.8 eV/f.u.

```
Ti4Zn5Ni
1.0
-0.675 -2.187 -2.062
2.822 -1.190 0.338
-5.283 -9.249 11.537
Ti Zn Ni
4 5 1
Direct
0.000 0.000 0.189
0.000 0.000 0.397
0.000 0.000 0.603
0.000 0.000 0.811
0.500 0.500 0.083
0.500 0.500 0.293
0.500 0.500 0.500
0.500 0.500 0.707
0.500 0.500 0.917
0.000 0.000 0.000
```

---

Entry 2:
Density functional theory data (PBE) for a relaxed Ba3AgOs crystal.

Calculated values
energy relative to the elements: 2.0 eV/f.u.
excess energy over the best structure of this formula in the dataset: 0.0 meV per atom

```
Ba3AgOs
1.0
-1.885 -5.597 -0.867
5.648 -1.790 -0.727
0.422 -1.050 5.861
Os Ba Ag
1 3 1
Direct
0.000 0.000 0.000
0.000 0.500 0.000
0.000 0.000 0.500
0.500 0.000 0.000
0.500 0.500 0.500
```

---

Entry 3:
Density functional theory data (PBE) for a relaxed Ca2Pt3O8 crystal.

Calculated values
ΔE_f (raw): -1.3498 eV per atom

```
Ca2Pt3O8
1.0
5.225 -0.100 -1.241
-0.510 5.740 -2.610
-0.470 -0.651 6.327
Ca Pt O
2 3 8
Direct
0.651 0.717 0.433
0.349 0.283 0.567
0.500 0.000 0.000
0.000 0.253 0.000
0.000 0.747 0.000
0.066 0.399 0.798
0.934 0.601 0.202
0.095 0.903 0.806
0.905 0.097 0.194
0.394 0.887 0.219
0.394 0.331 0.219
0.606 0.669 0.781
0.606 0.113 0.781
```

---

Entry 4:
Density functional theory data (PBE) for a relaxed ZnCd5 crystal.

Calculated values
energy relative to the elements: 0.2 eV/f.u.
excess energy over the best structure of this formula in the dataset: 10.3 meV per atom

```
ZnCd5
1.0
2.899 0.000 0.000
-1.450 5.953 -0.094
0.000 -2.987 7.639
Cd Zn
5 1
Direct
0.960 0.919 0.959
0.634 0.268 0.789
0.308 0.616 0.615
0.974 0.948 0.426
0.655 0.311 0.271
0.303 0.605 0.107
```

---

Number 1: total energy -4.552 eV per atom. Number 2: total energy -3.577 eV per atom. Number 3: total energy -6.103 eV per atom. Number 4: total energy -0.938 eV per atom.